Compound: CuBPOsS
Source: Alexandria
Functional: PBE-GGA
Structure: relaxed

Geometry as POSCAR:
```
CuBPOsS
1.0
3.106 0.001 -0.021
1.546 3.833 -0.010
0.029 1.554 6.016
B P S Os Cu
1 1 1 1 1
Cartesian
2.509 0.771 0.805
0.975 1.706 5.315
4.060 3.458 2.227
0.947 2.278 0.177
2.516 3.717 3.907
```

Output
As for the energy above the lowest structure with this stoichiometry: 85 meV/atom. The calculated density comes out at 7.6 g/cm3. The value obtained for the uncorrected formation energy is 0.322 eV/f.u. Its symmetry is No. 1.

---

Compound: CuBPOsS
Source: Alexandria
Functional: PBE-GGA
Structure: relaxed

Geometry as POSCAR:
```
CuBPOsS
1.0
3.557 0.000 0.000
0.000 2.934 0.000
0.000 0.000 14.443
Cu P Os S B
2 2 2 2 2
Cartesian
0.000 0.000 10.282
0.000 1.467 3.060
0.000 0.000 4.908
0.000 1.467 12.130
1.778 0.000 12.836
1.778 1.467 5.615
1.778 1.467 1.521
1.778 0.000 8.742
1.778 0.000 0.388
1.778 1.467 7.609
```

Output
As for the energy above the lowest structure with this stoichiometry: 20 meV/atom. The calculated density comes out at 7.2 g/cm3. The value obtained for the uncorrected formation energy is -0.004 eV/f.u. Its symmetry is No. 38.

---

Compound: CuBPOsS
Source: Alexandria
Functional: PBE-GGA
Structure: relaxed

Geometry as POSCAR:
```
CuBPOsS
1.0
-0.530 -4.313 3.455
-0.281 -1.859 -2.363
8.545 2.264 -2.796
S Os P B Cu
2 2 2 2 2
Cartesian
4.779 -1.197 -1.556
0.647 -1.399 1.024
2.080 -2.861 2.003
6.212 -2.659 -0.576
6.326 1.344 -1.809
1.913 -0.717 -1.593
0.177 -1.383 -0.862
4.590 0.678 -1.079
7.727 -0.384 -0.617
3.314 -2.445 -0.400
```

Output
As for the energy above the lowest structure with this stoichiometry: 155 meV/atom. The calculated density comes out at 7.9 g/cm3. The value obtained for the uncorrected formation energy is 0.672 eV/f.u. Its symmetry is No. 8.

---

Compound: CuBPOsS
Source: Alexandria
Functional: PBE-GGA
Structure: relaxed

Geometry as POSCAR:
```
CuBPOsS
1.0
2.996 0.000 0.000
0.000 2.961 0.000
0.000 0.000 15.958
Os B S P Cu
2 2 2 2 2
Cartesian
0.000 0.000 10.911
0.000 1.480 2.932
0.000 1.480 9.237
0.000 0.000 1.258
1.498 0.000 0.132
1.498 1.480 8.112
1.498 0.000 4.125
1.498 1.480 12.104
1.498 0.000 6.348
1.498 1.480 14.327
```

Output
As for the energy above the lowest structure with this stoichiometry: 35 meV/atom. The calculated density comes out at 7.7 g/cm3. The value obtained for the uncorrected formation energy is 0.072 eV/f.u. Its symmetry is No. 38.

---

Compound: CuBPOsS
Source: Alexandria
Functional: PBE-GGA
Structure: relaxed

Geometry as POSCAR:
```
CuBPOsS
1.0
-0.607 -2.691 -3.885
1.710 -2.574 1.516
-7.000 -2.644 3.408
Cu B S P Os
2 2 2 2 2
Cartesian
-1.189 -2.817 -3.443
-3.834 -5.426 -0.981
-5.221 -2.358 1.887
-0.866 -2.323 0.941
-1.934 -4.327 -1.258
-6.289 -4.362 -0.311
-3.962 -2.425 0.352
0.393 -2.390 -0.594
-1.919 -1.830 -0.942
-4.563 -4.439 1.520
```

Output
As for the energy above the lowest structure with this stoichiometry: 104 meV/atom. The calculated density comes out at 8.1 g/cm3. The value obtained for the uncorrected formation energy is 0.419 eV/f.u. Its symmetry is No. 8.

---

Compound: CuBPOsS
Source: Alexandria
Functional: PBE-GGA
Structure: relaxed

Geometry as POSCAR:
```
CuBPOsS
1.0
3.067 0.016 0.014
1.321 3.841 0.007
1.016 1.001 5.850
Os Cu P B S
1 1 1 1 1
Cartesian
3.421 1.786 5.103
1.719 3.414 3.569
3.241 4.046 5.766
2.290 1.660 1.222
3.800 1.548 2.404
```

Output
As for the energy above the lowest structure with this stoichiometry: 32 meV/atom. The calculated density comes out at 7.9 g/cm3. The value obtained for the uncorrected formation energy is 0.059 eV/f.u. Its symmetry is No. 1.

---

Compound: CuBPOsS
Source: Alexandria
Functional: PBE-GGA
Structure: relaxed

Geometry as POSCAR:
```
CuBPOsS
1.0
-3.658 6.431 1.563
-2.087 -1.525 1.389
5.465 -2.591 5.366
B P S Os Cu
2 2 2 2 2
Cartesian
1.399 -0.188 4.994
-0.290 1.870 1.617
3.046 -2.219 5.240
1.358 -0.162 1.862
0.882 1.314 5.867
-0.806 3.372 2.489
-0.934 -0.119 1.565
2.842 -0.652 3.554
-2.694 4.997 1.436
-1.006 2.939 4.814
```

Output
As for the energy above the lowest structure with this stoichiometry: 49 meV/atom. The calculated density comes out at 6.8 g/cm3. The value obtained for the uncorrected formation energy is 0.144 eV/f.u. Its symmetry is No. 8.

---

Compound: CuBPOsS
Source: Alexandria
Functional: PBE-GGA
Structure: relaxed

Geometry as POSCAR:
```
CuBPOsS
1.0
-0.293 -3.483 1.518
-0.887 -2.934 -2.120
7.179 -2.921 -0.470
S P Cu Os B
1 1 1 1 1
Cartesian
0.569 -2.642 -0.765
3.295 -5.326 -1.553
5.617 -5.778 -2.143
4.524 -4.641 0.256
6.447 -5.028 -0.259
```

Output
As for the energy above the lowest structure with this stoichiometry: 82 meV/atom. The calculated density comes out at 5.9 g/cm3. The value obtained for the uncorrected formation energy is 0.307 eV/f.u. Its symmetry is No. 1.

---

> Look up the calculated density of the third one.

7.9 g/cm3

---

> Which formula does entry 5 have?

CuBPOsS

---

> Which of these has the lowest energy above the lowest structure with this stoichiometry?

number 2

---

> Among the records above, which one has the lowest energy above the lowest structure with this stoichiometry?

number 2